No. 1
Entry from Alexandria: an optimized crystal structure of CsPuSbO6 (PBE).

Summary:
**Size of the total moment**: 4.000 μB per cell
**ΔE_f (raw)**: -2.03 eV per atom
**Total DFT energy (no corrections)**: -7.481 eV per atom
**Mass density**: 6.24 Mg/m³

Cell: 7.6584 7.6584 7.6584 Å, 122.23 118.11 89.75°
Positions (direct):
Cs  0.3649  0.1149  0.2500
Cs  0.6351  0.8851  0.7500
Pu  0.0000  0.5000  0.5000
Pu  0.5000  0.5000  0.0000
Sb  0.0000  0.0000  0.5000
Sb  0.0000  0.5000  0.0000
O  0.0592  0.4300  0.2386
O  0.0592  0.8206  0.6293
O  0.0686  0.8186  0.2500
O  0.3087  0.1794  0.7386
O  0.3087  0.5700  0.1293
O  0.3152  0.5652  0.7500
O  0.6848  0.4348  0.2500
O  0.6913  0.4300  0.8707
O  0.6913  0.8206  0.2614
O  0.9314  0.1814  0.7500
O  0.9408  0.1794  0.3707
O  0.9408  0.5700  0.7614


No. 2
Entry from Alexandria: an optimized crystal structure of Cs2PuSbO6 (PBE).

Summary:
**Size of the total moment**: 1.043 μB per cell
**ΔE_f (raw)**: -1.86 eV per atom
**Total DFT energy (no corrections)**: -6.852 eV per atom
**Mass density**: 7.12 Mg/m³

Cell: 6.2144 6.2144 6.2144 Å, 60.00 60.00 60.00°
Positions (direct):
Cs  0.2500  0.2500  0.2500
Cs  0.7500  0.7500  0.7500
Pu  0.0000  0.0000  0.0000
Sb  0.5000  0.5000  0.5000
O  0.2344  0.2344  0.7656
O  0.2344  0.7656  0.2344
O  0.2344  0.7656  0.7656
O  0.7656  0.2344  0.2344
O  0.7656  0.2344  0.7656
O  0.7656  0.7656  0.2344


No. 3
Entry from Alexandria: an optimized crystal structure of CsPuScO6 (PBE).

Summary:
**Size of the total moment**: 0.000 μB per cell
**ΔE_f (raw)**: -2.42 eV per atom
**Total DFT energy (no corrections)**: -8.121 eV per atom
**Mass density**: 4.78 Mg/m³

Cell: 5.5975 5.5975 13.2519 Å, 90.00 90.00 120.00°
Positions (direct):
Cs  0.0000  0.0000  0.0000
Cs  0.0000  0.0000  0.5000
Pu  0.3333  0.6667  0.2500
Pu  0.6667  0.3333  0.7500
Sc  0.3333  0.6667  0.7500
Sc  0.6667  0.3333  0.2500
O  0.0189  0.4004  0.1666
O  0.0189  0.6185  0.3334
O  0.3815  0.4004  0.3334
O  0.3815  0.9811  0.1666
O  0.4004  0.0189  0.6666
O  0.4004  0.3815  0.8334
O  0.5996  0.6185  0.1666
O  0.5996  0.9811  0.3334
O  0.6185  0.0189  0.8334
O  0.6185  0.5996  0.6666
O  0.9811  0.3815  0.6666
O  0.9811  0.5996  0.8334


No. 4
Entry from Alexandria: an optimized crystal structure of CsPuSe2O8 (PBE).

Summary:
**Size of the total moment**: 1.063 μB per cell
**ΔE_f (raw)**: -1.37 eV per atom
**Total DFT energy (no corrections)**: -6.518 eV per atom
**Mass density**: 4.24 Mg/m³

Cell: 6.0237 6.0237 8.2614 Å, 90.00 90.00 120.00°
Positions (direct):
Cs  0.0000  0.0000  0.0000
Pu  0.0000  0.0000  0.5000
Se  0.3333  0.6667  0.6665
Se  0.6667  0.3333  0.3335
O  0.0570  0.2994  0.6410
O  0.2425  0.9430  0.6410
O  0.2994  0.2425  0.3590
O  0.3333  0.6667  0.8646
O  0.6667  0.3333  0.1354
O  0.7006  0.7575  0.6410
O  0.7575  0.0570  0.3590
O  0.9430  0.7006  0.3590


No. 5
Entry from Alexandria: an optimized crystal structure of Cs2PuSeO6 (PBE).

Summary:
**Size of the total moment**: 1.097 μB per cell
**ΔE_f (raw)**: -1.72 eV per atom
**Total DFT energy (no corrections)**: -6.650 eV per atom
**Mass density**: 5.98 Mg/m³

Cell: 6.9715 6.9715 6.9715 Å, 130.73 130.73 72.24°
Positions (direct):
Cs  0.2500  0.7500  0.5000
Cs  0.7500  0.2500  0.5000
Pu  0.0000  0.0000  0.0000
Se  0.5000  0.5000  0.0000
O  0.1659  0.1659  0.0000
O  0.2607  0.2607  0.5214
O  0.2607  0.7393  0.0000
O  0.7393  0.2607  0.0000
O  0.7393  0.7393  0.4786
O  0.8341  0.8341  0.0000


No. 6
Entry from Alexandria: an optimized crystal structure of CsPuSeO5 (PBE).

Summary:
**Size of the total moment**: 6.133 μB per cell
**ΔE_f (raw)**: -1.85 eV per atom
**Total DFT energy (no corrections)**: -7.282 eV per atom
**Mass density**: 5.31 Mg/m³

Cell: 6.7419 6.7419 8.0948 Å, 93.41 93.41 113.63°
Positions (direct):
Cs  0.1482  0.8518  0.7500
Cs  0.8518  0.1482  0.2500
Pu  0.5000  0.5000  0.0000
Pu  0.5000  0.5000  0.5000
Se  0.2123  0.7877  0.2500
Se  0.7877  0.2123  0.7500
O  0.2214  0.2881  0.9920
O  0.2291  0.6261  0.4005
O  0.2881  0.2214  0.4920
O  0.3739  0.7709  0.0995
O  0.4433  0.5567  0.7500
O  0.5567  0.4433  0.2500
O  0.6261  0.2291  0.9005
O  0.7119  0.7786  0.5080
O  0.7709  0.3739  0.5995
O  0.7786  0.7119  0.0080


No. 7
Entry from Alexandria: an optimized crystal structure of Cs2PuSiO6 (PBE).

Summary:
**Size of the total moment**: 2.000 μB per cell
**ΔE_f (raw)**: -2.19 eV per atom
**Total DFT energy (no corrections)**: -7.310 eV per atom
**Mass density**: 5.19 Mg/m³

Cell: 6.6701 6.6701 5.2661 Å, 90.00 90.00 120.00°
Positions (direct):
Cs  0.3333  0.6667  0.3307
Cs  0.6667  0.3333  0.6693
Pu  0.0000  0.0000  0.0000
Si  0.0000  0.0000  0.5000
O  0.1258  0.2516  0.7145
O  0.1258  0.8742  0.7145
O  0.2516  0.1258  0.2855
O  0.7484  0.8742  0.7145
O  0.8742  0.1258  0.2855
O  0.8742  0.7484  0.2855


No. 8
Entry from Alexandria: an optimized crystal structure of CsPuSi2O8 (PBE).

Summary:
**Size of the total moment**: 0.964 μB per cell
**ΔE_f (raw)**: -2.32 eV per atom
**Total DFT energy (no corrections)**: -7.794 eV per atom
**Mass density**: 3.99 Mg/m³

Cell: 5.3408 5.3408 9.2283 Å, 92.12 92.12 62.53°
Positions (direct):
Cs  0.0000  0.0000  0.0000
Pu  0.0000  0.0000  0.5000
Si  0.3544  0.3544  0.6962
Si  0.6456  0.6456  0.3038
O  0.2102  0.2102  0.5772
O  0.2122  0.6925  0.6490
O  0.3075  0.7878  0.3510
O  0.3167  0.3167  0.8611
O  0.6833  0.6833  0.1389
O  0.6925  0.2122  0.6490
O  0.7878  0.3075  0.3510
O  0.7898  0.7898  0.4228